Li2TmMg | PBE | optimized geometry

## Properties
E_form	0.0711	eV/atom
DFT total energy	-9.61	eV/cell
size of the total moment	0.00	μB/f.u.

abc: 3.5629 3.5629 7.0980
angles: 90.00 90.00 90.00
Fractional coordinates of all 4 atoms:
Tm (0.5000, 0.5000, 0.5000)
Mg (0.5000, 0.5000, 0.0000)
Li (0.0000, 0.0000, 0.7804)
Li (0.0000, 0.0000, 0.2196)

LiZnCu2 | PBE | optimized geometry

## Properties
E_form	-0.0311	eV/atom
DFT total energy	-11.50	eV/cell
size of the total moment	0.00	μB/f.u.

abc: 2.5468 2.5468 8.5560
angles: 89.00 89.00 69.37
Fractional coordinates of all 4 atoms:
Li (0.6431, 0.6431, 0.0000)
Cu (0.1404, 0.1404, 0.2492)
Zn (0.5869, 0.5869, 0.5000)
Cu (0.1295, 0.1295, 0.7507)

SrSbW2 | PBE | optimized geometry

## Properties
formation energy from raw total energies	101.35	kJ/mol of atoms
DFT total energy	-27.51	eV/cell
size of the total moment	0.00	μB/f.u.

abc: 6.2075 6.2075 2.8670
angles: 77.20 77.20 121.06
Fractional coordinates of all 4 atoms:
W (0.5000, 0.5000, 0.0000)
W (0.0000, 0.0000, 0.0000)
Sr (0.0000, 0.5000, 0.5000)
Sb (0.5000, 0.0000, 0.5000)

ScTa3Ga | PBE | optimized geometry

## Properties
E_form	1.8499	eV/atom
DFT total energy	-35.67	eV/cell
size of the total moment	0.00	μB/f.u.

abc: 4.7371 4.7371 4.7371
angles: 90.00 90.00 90.00
Fractional coordinates of all 5 atoms:
Sc (0.0000, 0.0000, 0.0000)
Ta (0.5000, 0.0000, 0.0000)
Ta (0.0000, 0.0000, 0.5000)
Ta (0.0000, 0.5000, 0.0000)
Ga (0.5000, 0.5000, 0.5000)

MnWAu2 | PBE | optimized geometry

## Properties
E_form	0.4701	eV/atom
DFT total energy	-26.80	eV/cell
size of the total moment	2.29	μB/f.u.

abc: 4.0862 4.0861 3.9529
angles: 90.00 90.00 90.00
Fractional coordinates of all 4 atoms:
Au (0.0000, 0.0000, 0.0000)
Au (0.5000, 0.5000, 0.0000)
Mn (0.5000, 0.0000, 0.5000)
W (0.0000, 0.5000, 0.5000)

LaNd2Co | PBE | optimized geometry

## Properties
E_form	-0.0628	eV/atom
DFT total energy	-43.64	eV/cell
size of the total moment	0.00	μB/f.u.

abc: 3.7731 6.4658 10.0176
angles: 90.00 90.00 106.98
Fractional coordinates of all 8 atoms:
Co (0.7478, 0.4953, 0.2500)
La (0.4051, 0.8100, 0.2500)
Nd (0.8566, 0.7136, 0.5732)
Nd (0.1434, 0.2864, 0.4268)
Co (0.2522, 0.5047, 0.7500)
Nd (0.1434, 0.2864, 0.0732)
La (0.5949, 0.1900, 0.7500)
Nd (0.8566, 0.7136, 0.9268)

Na2Tl5Hg4 | PBE | optimized geometry

## Properties
E_form	-0.0508	eV/atom
DFT total energy	-16.23	eV/cell
size of the total moment	0.00	μB/f.u.

abc: 3.2831 9.3982 11.6687
angles: 113.75 98.09 90.00
Fractional coordinates of all 11 atoms:
Hg (0.0000, 0.2939, 0.0000)
Tl (0.8519, 0.0459, 0.7038)
Na (0.5883, 0.5883, 0.1766)
Hg (0.0000, 0.7061, 0.0000)
Na (0.4117, 0.4117, 0.8234)
Tl (0.1481, 0.9541, 0.2962)
Tl (0.1481, 0.3421, 0.2962)
Hg (0.7313, 0.7313, 0.4626)
Tl (0.5000, 0.0000, 0.0000)
Hg (0.2687, 0.2687, 0.5374)
Tl (0.8519, 0.6579, 0.7038)

Ce2TmThBi5 | PBE | optimized geometry

## Properties
E_form	0.0952	eV/atom
DFT total energy	-42.31	eV/cell
size of the total moment	2.18	μB/f.u.

abc: 5.7704 5.7704 11.8242
angles: 90.00 90.00 90.00
Fractional coordinates of all 9 atoms:
Bi (0.0000, 0.0000, 0.2416)
Bi (0.5000, 0.0000, 0.5000)
Bi (0.5000, 0.5000, 0.0000)
Bi (0.0000, 0.0000, 0.7584)
Tm (0.0000, 0.0000, 0.0000)
Ce (0.5000, 0.5000, 0.2880)
Th (0.0000, 0.0000, 0.5000)
Bi (0.0000, 0.5000, 0.5000)
Ce (0.5000, 0.5000, 0.7120)

Tm4Mg5Zn2 | PBE | optimized geometry

## Properties
E_form	-0.1011	eV/atom
DFT total energy	-29.52	eV/cell
size of the total moment	0.00	μB/f.u.

abc: 3.4919 7.8738 9.8838
angles: 93.17 90.00 90.00
Fractional coordinates of all 11 atoms:
Tm (0.5000, 0.1623, 0.8658)
Mg (0.0000, 0.5590, 0.3085)
Mg (0.0000, 0.5000, 0.0000)
Tm (0.5000, 0.2452, 0.4454)
Zn (0.0000, 0.0575, 0.6318)
Mg (0.0000, 0.1881, 0.1589)
Mg (0.0000, 0.8119, 0.8411)
Tm (0.5000, 0.8377, 0.1342)
Zn (0.0000, 0.9425, 0.3682)
Tm (0.5000, 0.7548, 0.5546)
Mg (0.0000, 0.4410, 0.6915)

BaPIr | PBE | optimized geometry

## Properties
E_form	-0.9050	eV/atom
DFT total energy	-75.64	eV/cell
size of the total moment	0.00	μB/f.u.

abc: 6.5486 6.5486 6.5486
angles: 90.00 90.00 90.00
Fractional coordinates of all 12 atoms:
Ba (0.1261, 0.1261, 0.1261)
Ir (0.4031, 0.4031, 0.4031)
P (0.3458, 0.6542, 0.1542)
Ba (0.6261, 0.3739, 0.8739)
P (0.8458, 0.8458, 0.8458)
P (0.1542, 0.3458, 0.6542)
Ir (0.9031, 0.0969, 0.5969)
Ir (0.0969, 0.5969, 0.9031)
P (0.6542, 0.1542, 0.3458)
Ba (0.8739, 0.6261, 0.3739)
Ba (0.3739, 0.8739, 0.6261)
Ir (0.5969, 0.9031, 0.0969)

Sc2CdF | PBE | optimized geometry

## Properties
formation energy from raw total energies	-110.66	kJ/mol of atoms
DFT total energy	-40.07	eV/cell
size of the total moment	0.98	μB/f.u.

abc: 6.7648 6.7648 5.9218
angles: 55.17 55.17 90.00
Fractional coordinates of all 8 atoms:
Sc (0.2238, 0.6250, 0.2500)
Cd (0.7500, 0.2500, 0.5000)
Sc (0.5262, 0.1250, 0.2500)
Sc (0.8750, 0.7762, 0.7500)
F (0.5000, 0.5000, 0.0000)
F (0.2500, 0.7500, 0.5000)
Sc (0.3750, 0.4738, 0.7500)
Cd (0.0000, 0.0000, 0.0000)

BiAs4S8 | PBE | optimized geometry

## Properties
formation energy from raw total energies	-2.82	kJ/mol of atoms
DFT total energy	-55.88	eV/cell
size of the total moment	0.00	μB/f.u.

abc: 7.7375 7.7375 7.7375
angles: 60.00 60.00 60.00
Fractional coordinates of all 13 atoms:
S (0.1368, 0.5897, 0.1368)
S (0.1368, 0.1368, 0.1368)
S (0.6132, 0.1603, 0.6132)
S (0.5897, 0.1368, 0.1368)
Bi (0.7500, 0.7500, 0.7500)
As (0.3629, 0.9114, 0.3629)
S (0.6132, 0.6132, 0.6132)
As (0.9114, 0.3629, 0.3629)
As (0.3629, 0.3629, 0.9114)
As (0.3629, 0.3629, 0.3629)
S (0.6132, 0.6132, 0.1603)
S (0.1368, 0.1368, 0.5897)
S (0.1603, 0.6132, 0.6132)